No. 1
Density functional theory data (GGA-PBE) for La2TmGa3Ir4 after structural relaxation.

final energy: -6.64 eV/atom
formation enthalpy at 0 K: -73.1 kJ/mol of atoms

Cell lengths 4.3005, 4.3005, 11.0526 Å; angles 90.00, 90.00, 90.00 degrees
Space group P-4m2 (No. 115)
Inequivalent atoms, fractional coordinates:
La: 0.0000 0.5000 0.2251 [2 per cell]
Tm: 0.0000 0.0000 0.5000 [1 per cell]
Ga: 0.0000 0.5000 0.8830 [2 per cell]
Ga: 0.5000 0.5000 0.5000 [1 per cell]
Ir: 0.0000 0.0000 0.0000 [1 per cell]
Ir: 0.0000 0.5000 0.6530 [2 per cell]
Ir: 0.5000 0.5000 0.0000 [1 per cell]

---

No. 2
Density functional theory data (GGA-PBE) for K2CeYTe4 after structural relaxation.

uncorrected formation energy: -1375.7 meV/atom
final energy: -4.77 eV/atom

Cell lengths 7.9370, 4.5828, 8.6442 Å; angles 90.00, 107.78, 90.00 degrees
Space group P2/m (No. 10)
Inequivalent atoms, fractional coordinates:
K: 0.0000 0.0000 0.0000 [1 per cell]
K: 0.5000 0.5000 0.0000 [1 per cell]
Ce: 0.0000 0.5000 0.5000 [1 per cell]
Y: 0.5000 0.0000 0.5000 [1 per cell]
Te: 0.2449 0.0000 0.7129 [2 per cell]
Te: 0.2707 0.5000 0.2903 [2 per cell]

---

No. 3
Density functional theory data (GGA-PBE) for MgTa3O after structural relaxation.

uncorrected formation energy: 2474.4 meV/atom
final energy: -5.95 eV/atom
E above lowest polymorph: 2.874 eV per atom

Cell lengths 4.7078, 4.7078, 4.7078 Å; angles 90.00, 90.00, 90.00 degrees
Space group Pm-3m (No. 221)
Inequivalent atoms, fractional coordinates:
Mg: 0.0000 0.0000 0.0000 [1 per cell]
Ta: 0.0000 0.0000 0.5000 [3 per cell]
O: 0.5000 0.5000 0.5000 [1 per cell]

---

No. 4
Density functional theory data (GGA-PBE) for Rb2UAg2Se4 after structural relaxation.

uncorrected formation energy: -922.3 meV/atom
final energy: -4.57 eV/atom

Cell lengths 15.6230, 4.2985, 8.2388 Å; angles 90.00, 109.40, 90.00 degrees
Space group C2/m (No. 12)
Inequivalent atoms, fractional coordinates:
Rb: 0.1355 0.0000 0.0724 [4 per cell]
U: 0.0000 0.0000 0.5000 [2 per cell]
Ag: 0.1808 0.5000 0.4830 [4 per cell]
Se: 0.0101 0.5000 0.2699 [4 per cell]
Se: 0.1905 0.0000 0.6893 [4 per cell]

---

Q: Which of these has the lowest final energy?
A: La2TmGa3Ir4

---

Q: Which of these has the highest final energy?
A: Rb2UAg2Se4

---

Q: Look up the final energy of the second one.
A: -4.77 eV/atom

---

Q: Which of these has the lowest final energy?
A: La2TmGa3Ir4